Here is TiNbSN2 after structural relaxation from the Alexandria database. Energies are from GGA-PBE.

## Properties
**Volume**: 15.84 Å³/atom
**ΔE to the lowest computed polymorph**: 0.000 eV/f.u.
**Symmetry**: No. 123

a b c (Å): 3.9946 3.9946 4.9648
angles (deg): 90.00 90.00 90.00
Each line ends with the local moment (μB).
Fractional positions:
1 N 0.0000 0.5000 0.0000  -0.07
2 N 0.5000 0.0000 0.0000  -0.07
3 S 0.0000 0.0000 0.5000  -0.06
4 Ti 0.5000 0.5000 0.5000  1.46
5 Nb 0.0000 0.0000 0.0000  0.04


Here is TiNbS2N after structural relaxation from the Alexandria database. Energies are from GGA-PBE.

## Properties
**Volume**: 16.81 Å³/atom
**ΔE to the lowest computed polymorph**: 0.061 eV/f.u.
**Symmetry**: No. 123

a b c (Å): 4.7532 4.7532 3.7196
angles (deg): 90.00 90.00 90.00
Each line ends with the local moment (μB).
Fractional positions:
1 S 0.0000 0.5000 0.0000  -0.07
2 Ti 0.0000 0.0000 0.0000  0.05
3 N 0.0000 0.0000 0.5000  -0.15
4 Nb 0.5000 0.5000 0.5000  1.85
5 S 0.5000 0.0000 0.0000  -0.07


Here is NbTlSN2 after structural relaxation from the Alexandria database. Energies are from GGA-PBE.

## Properties
**Volume**: 17.54 Å³/atom
**ΔE to the lowest computed polymorph**: 0.000 eV/f.u.
**Symmetry**: No. 123

a b c (Å): 4.0767 4.0767 5.2771
angles (deg): 90.00 90.00 90.00
Each line ends with the local moment (μB).
Fractional positions:
1 N 0.5000 0.0000 0.0000  0.25
2 Nb 0.0000 0.0000 0.0000  -0.08
3 S 0.0000 0.0000 0.5000  0.00
4 Tl 0.5000 0.5000 0.5000  0.00
5 N 0.0000 0.5000 0.0000  0.25